1.
Computed, not measured: crystalline Pr2Er3In4 at its relaxed geometry at the PBE level of DFT.

abc: 7.0145 17.1128 8.9275
angles: 90.00 90.00 90.00
Space group Cmce (No. 64)
One atom of each set of equivalent atoms:
Pr (0.0000, 0.1062, 0.0813) [8 per cell]
Er (0.0000, 0.0000, 0.5000) [4 per cell]
Er (0.2500, 0.2232, 0.7500) [8 per cell]
In (0.0000, 0.1785, 0.4609) [8 per cell]
In (0.2500, 0.0447, 0.7500) [8 per cell]

## Properties
size of the total moment	0.00	μB/f.u.

2.
Computed, not measured: crystalline Pr5Er12In2 at its relaxed geometry at the PBE level of DFT.

abc: 15.4137 9.3066 8.3850
angles: 90.00 92.26 90.00
Space group C2/m (No. 12)
One atom of each set of equivalent atoms:
Pr (0.0000, 0.0000, 0.0000) [2 per cell]
Pr (0.1970, 0.5000, 0.5125) [4 per cell]
Pr (0.2339, 0.0000, 0.0757) [4 per cell]
Er (0.0532, 0.5000, 0.8264) [4 per cell]
Er (0.0764, 0.0000, 0.3793) [4 per cell]
Er (0.1267, 0.3076, 0.1706) [8 per cell]
Er (0.1431, 0.1830, 0.7356) [8 per cell]
In (0.0000, 0.3223, 0.5000) [4 per cell]

## Properties
size of the total moment	0.00	μB/f.u.

3.
Computed, not measured: crystalline PrEr12In3 at its relaxed geometry at the PBE level of DFT.

abc: 4.8310 4.8310 19.7002
angles: 90.00 90.00 90.00
Space group P4/mmm (No. 123)
One atom of each set of equivalent atoms:
Pr (0.0000, 0.0000, 0.0000) [1 per cell]
Er (0.0000, 0.5000, 0.1330) [4 per cell]
Er (0.0000, 0.5000, 0.3779) [4 per cell]
Er (0.5000, 0.5000, 0.0000) [1 per cell]
Er (0.5000, 0.5000, 0.2569) [2 per cell]
Er (0.5000, 0.5000, 0.5000) [1 per cell]
In (0.0000, 0.0000, 0.2572) [2 per cell]
In (0.0000, 0.0000, 0.5000) [1 per cell]

## Properties
size of the total moment	0.00	μB/f.u.

4.
Computed, not measured: crystalline Pr12ErIn3 at its relaxed geometry at the PBE level of DFT.

abc: 5.0378 5.0378 20.4779
angles: 90.00 90.00 90.00
Space group P4/mmm (No. 123)
One atom of each set of equivalent atoms:
Pr (0.0000, 0.0000, 0.0000) [1 per cell]
Pr (0.0000, 0.0000, 0.2462) [2 per cell]
Pr (0.0000, 0.0000, 0.5000) [1 per cell]
Pr (0.0000, 0.5000, 0.1232) [4 per cell]
Pr (0.0000, 0.5000, 0.3697) [4 per cell]
Er (0.5000, 0.5000, 0.5000) [1 per cell]
In (0.5000, 0.5000, 0.0000) [1 per cell]
In (0.5000, 0.5000, 0.2448) [2 per cell]

## Properties
size of the total moment	0.00	μB/f.u.

5.
Computed, not measured: crystalline Pr3ErIn3 at its relaxed geometry at the PBE level of DFT.

abc: 8.3487 10.7800 9.8427
angles: 90.00 91.88 90.00
Space group C2/m (No. 12)
One atom of each set of equivalent atoms:
Pr (0.0000, 0.1805, 0.0000) [4 per cell]
Pr (0.0000, 0.2373, 0.5000) [4 per cell]
Pr (0.0953, 0.5000, 0.8185) [4 per cell]
Er (0.2201, 0.5000, 0.4600) [4 per cell]
In (0.0217, 0.0000, 0.2706) [4 per cell]
In (0.2346, 0.2880, 0.2404) [8 per cell]

## Properties
size of the total moment	0.00	μB/f.u.

6.
Computed, not measured: crystalline Pr6Er8In at its relaxed geometry at the PBE level of DFT.

abc: 9.4884 9.4884 6.3769
angles: 90.00 90.00 120.00
Space group P-3 (No. 147)
One atom of each set of equivalent atoms:
Pr (0.0887, 0.6395, 0.1870) [6 per cell]
Er (0.0396, 0.7777, 0.6887) [6 per cell]
Er (0.3333, 0.6667, 0.6739) [2 per cell]
In (0.0000, 0.0000, 0.0000) [1 per cell]

## Properties
size of the total moment	0.00	μB/f.u.

7.
Computed, not measured: crystalline PrEr6In at its relaxed geometry at the PBE level of DFT.

abc: 4.8915 4.8915 9.9783
angles: 90.00 90.00 90.00
Space group P4/mmm (No. 123)
One atom of each set of equivalent atoms:
Pr (0.0000, 0.0000, 0.0000) [1 per cell]
Er (0.0000, 0.5000, 0.2587) [4 per cell]
Er (0.5000, 0.5000, 0.0000) [1 per cell]
Er (0.5000, 0.5000, 0.5000) [1 per cell]
In (0.0000, 0.0000, 0.5000) [1 per cell]

## Properties
size of the total moment	0.00	μB/f.u.

8.
Computed, not measured: crystalline Pr2Er4In at its relaxed geometry at the PBE level of DFT.

abc: 6.4728 11.6878 11.6733
angles: 90.00 90.00 90.00
Space group Cmce (No. 64)
One atom of each set of equivalent atoms:
Pr (0.0000, 0.1570, 0.0188) [8 per cell]
Er (0.0000, 0.1738, 0.3003) [8 per cell]
Er (0.2500, 0.0701, 0.7500) [8 per cell]
In (0.0000, 0.0000, 0.5000) [4 per cell]

## Properties
size of the total moment	0.00	μB/f.u.

9.
Computed, not measured: crystalline Pr2Er2In3 at its relaxed geometry at the PBE level of DFT.

abc: 4.6695 24.9818 3.4560
angles: 90.00 90.00 90.00
Space group Cmmm (No. 65)
One atom of each set of equivalent atoms:
Pr (0.0000, 0.0729, 0.0000) [4 per cell]
Er (0.0000, 0.2047, 0.0000) [4 per cell]
In (0.0000, 0.3470, 0.5000) [4 per cell]
In (0.0000, 0.5000, 0.5000) [2 per cell]

## Properties
size of the total moment	0.00	μB/f.u.

| no. | calculated formation energy (eV per formula unit) |
| --- | --- |
| 1 | -2.8 |
| 2 | -0.3 |
| 3 | -2.9 |
| 4 | -3.2 |
| 5 | -2.0 |
| 6 | 1.0 |
| 7 | -0.8 |
| 8 | 0.0 |
| 9 | -2.1 |